The following is a DFT calculation (PBE) of CeZr2MoN4 after structural relaxation.

Values from the calculation:
Space group = Cmcm
Formation energy (no corrections) = -1196 meV/atom
Size of the total moment = 0.00 μB per formula unit
Final energy = -9.59 eV per atom

Geometry as extended XYZ:
```
16
Lattice="1.6401 -5.7652 0.0000 1.6401 5.7652 0.0000 0.0000 0.0000 11.3089" Properties=species:S:1:pos:R:3 pbc="T T T"
Ce 1.6401 4.4567 8.4817
Ce 1.6401 -4.4567 2.8272
Zr 1.6401 1.5023 6.1302
Zr 1.6401 1.5023 10.8332
Zr 1.6401 -1.5023 0.4757
Zr 1.6401 -1.5023 5.1788
Mo 1.6401 4.0515 2.8272
Mo 1.6401 -4.0515 8.4817
N 0.0000 0.0000 0.0000
N 0.0000 0.0000 5.6545
N 1.6401 2.6899 1.3185
N 1.6401 2.6899 4.3360
N 1.6401 0.4526 8.4817
N 1.6401 -0.4526 2.8272
N 1.6401 -2.6899 6.9730
N 1.6401 -2.6899 9.9904
```